Record 1
Crystalline La10DyTm4 at its relaxed geometry, computed with GGA-PBE.

Cell and atoms, written as POSCAR:
```
La10DyTm4
1.0
7.216 0.000 3.258
3.608 8.793 1.629
-0.011 0.000 9.643
La Tm Dy
10 4 1
direct
0.750 0.500 0.500
0.849 0.699 0.101
0.950 0.899 0.699
0.350 0.699 0.101
0.050 0.101 0.301
0.452 0.899 0.699
0.650 0.301 0.899
0.548 0.101 0.301
0.151 0.301 0.899
0.250 0.500 0.500
0.200 0.400 0.200
0.400 0.800 0.400
0.600 0.200 0.600
0.800 0.600 0.800
0.000 0.000 0.000
```

Output
Volume, Å³/cell: 612.1
E_tot, eV/atom: -4.157

Record 2
Crystalline La3Dy8Tm2 at its relaxed geometry, computed with GGA-PBE.

Cell and atoms, written as POSCAR:
```
La3Dy8Tm2
1.0
-1.776 1.561 -5.142
-7.250 0.613 2.691
5.308 9.311 0.997
Dy La Tm
8 3 2
direct
0.000 0.862 0.725
0.999 0.325 0.651
0.501 0.403 0.221
0.499 0.181 0.779
0.001 0.675 0.349
0.000 0.138 0.275
0.501 0.819 0.221
0.499 0.597 0.779
0.000 0.299 0.000
0.500 0.000 0.000
0.000 0.701 0.000
0.501 0.759 0.518
0.499 0.241 0.482
```

Output
Volume, Å³/cell: 440.8
E_tot, eV/atom: -4.410

Record 3
Crystalline LaDy7Tm3 at its relaxed geometry, computed with GGA-PBE.

Cell and atoms, written as POSCAR:
```
LaDy7Tm3
1.0
-4.013 1.015 7.513
-3.653 -5.918 -1.152
6.198 -0.279 3.349
Tm Dy La
3 7 1
direct
0.786 0.501 0.002
0.786 0.501 0.499
0.786 0.998 0.499
0.118 0.667 0.333
0.114 0.168 0.336
0.114 0.168 0.832
0.450 0.832 0.168
0.450 0.832 0.664
0.450 0.336 0.168
0.114 0.664 0.832
0.446 0.333 0.667
```

Output
Energy above the most stable polymorph in this dataset, eV per atom: 0.062
Volume, Å³/cell: 369.2
E_tot, eV/atom: -4.392

Record 4
Crystalline La4DyTm4 at its relaxed geometry, computed with GGA-PBE.

Cell and atoms, written as POSCAR:
```
La4DyTm4
1.0
5.448 0.000 -2.696
-1.334 5.282 -2.696
1.743 2.239 10.375
Tm Dy La
4 1 4
direct
0.112 0.112 0.586
0.888 0.526 0.414
0.526 0.888 0.414
0.474 0.474 0.586
0.000 0.000 0.000
0.857 0.857 0.715
0.500 0.000 0.000
0.000 0.500 0.000
0.143 0.143 0.285
```

Output
Energy above the most stable polymorph in this dataset, eV per atom: 0.695
Volume, Å³/cell: 364.3
E_tot, eV/atom: -3.958

Record 5
Crystalline La4Dy2Tm3 at its relaxed geometry, computed with GGA-PBE.

Cell and atoms, written as POSCAR:
```
La4Dy2Tm3
1.0
5.128 0.000 0.000
0.000 8.033 0.744
-2.564 -3.093 7.023
La Tm Dy
4 3 2
direct
0.223 0.333 0.447
0.777 0.667 0.553
0.447 0.670 0.893
0.553 0.330 0.107
0.112 0.672 0.224
0.000 0.000 0.000
0.888 0.328 0.776
0.333 0.000 0.665
0.667 0.000 0.335
```

Output
Energy above the most stable polymorph in this dataset, eV per atom: 0.000
Volume, Å³/cell: 301.1
E_tot, eV/atom: -4.669

Record 6
Crystalline La8DyTm6 at its relaxed geometry, computed with GGA-PBE.

Cell and atoms, written as POSCAR:
```
La8DyTm6
1.0
-5.677 3.245 1.238
-3.100 -2.137 -8.619
-1.745 -5.798 7.197
La Tm Dy
8 6 1
direct
0.832 0.046 0.294
0.168 0.954 0.706
0.832 0.248 0.954
0.168 0.752 0.046
0.120 0.667 0.333
0.880 0.333 0.667
0.832 0.706 0.752
0.168 0.294 0.248
0.349 0.562 0.661
0.651 0.661 0.100
0.651 0.438 0.339
0.349 0.100 0.438
0.651 0.900 0.562
0.349 0.339 0.900
0.500 0.000 0.000
```

Output
Volume, Å³/cell: 509.8
E_tot, eV/atom: -4.556

Record 7
Crystalline La3DyTm7 at its relaxed geometry, computed with GGA-PBE.

Cell and atoms, written as POSCAR:
```
La3DyTm7
1.0
-1.196 5.156 1.467
-9.713 -1.530 -2.556
2.364 -6.774 5.203
Tm La Dy
7 3 1
direct
0.099 0.171 0.099
0.311 0.635 0.811
0.901 0.829 0.901
0.140 0.290 0.640
0.500 0.000 0.500
0.689 0.365 0.189
0.860 0.710 0.360
0.713 0.994 0.213
0.000 0.500 0.000
0.287 0.006 0.787
0.500 0.500 0.500
```

Output
Energy above the most stable polymorph in this dataset, eV per atom: 0.000
Volume, Å³/cell: 361.5
E_tot, eV/atom: -4.442

Record 8
Crystalline LaDy5YTm2 at its relaxed geometry, computed with GGA-PBE.

Cell and atoms, written as POSCAR:
```
LaDy5YTm2
1.0
-5.106 1.928 1.188
-1.050 -10.145 -1.181
1.899 -1.414 10.456
Y Tm Dy La
2 4 10 2
direct
0.414 0.829 0.455
0.586 0.171 0.955
0.893 0.786 0.240
0.107 0.214 0.740
0.886 0.772 0.819
0.114 0.228 0.319
0.604 0.208 0.526
0.701 0.403 0.205
0.283 0.566 0.302
0.477 0.955 0.739
0.018 0.035 0.029
0.523 0.045 0.239
0.982 0.965 0.529
0.396 0.792 0.026
0.299 0.597 0.705
0.717 0.434 0.802
0.794 0.588 0.509
0.206 0.412 0.009
```

Output
Volume, Å³/cell: 591.6
E_tot, eV/atom: -4.651

Record 9
Crystalline La4Dy2YTm2 at its relaxed geometry, computed with GGA-PBE.

Cell and atoms, written as POSCAR:
```
La4Dy2YTm2
1.0
3.636 0.000 0.000
-1.818 9.270 1.645
0.000 -1.539 8.734
Dy La Tm Y
2 4 2 1
direct
0.112 0.223 0.673
0.888 0.777 0.327
0.445 0.889 0.670
0.555 0.111 0.330
0.223 0.445 0.327
0.777 0.555 0.673
0.333 0.667 0.002
0.667 0.333 0.998
0.000 0.000 0.000
```

Output
Volume, Å³/cell: 303.6
E_tot, eV/atom: -4.894

Record 10
Crystalline La2Dy3YTm6 at its relaxed geometry, computed with GGA-PBE.

Cell and atoms, written as POSCAR:
```
La2Dy3YTm6
1.0
-2.236 -5.735 0.205
2.373 2.191 -5.244
10.358 -2.769 4.733
La Dy Tm Y
2 3 6 1
direct
0.334 0.666 0.000
0.666 0.334 0.000
0.833 0.167 0.500
0.500 0.500 0.500
0.167 0.833 0.500
0.753 0.753 0.255
0.418 0.086 0.254
0.247 0.247 0.745
0.582 0.914 0.746
0.086 0.418 0.254
0.914 0.582 0.746
0.000 0.000 0.000
```

Output
Volume, Å³/cell: 379.2
E_tot, eV/atom: -4.720